The following is a DFT calculation (PBE) of a relaxed Zr2Rh crystal.

Values from the calculation:
calculated density: 7.8 g/cm3
uncorrected energy: -8.68 eV per atom
formation energy from the elements: -0.5305 eV/atom

Cell lengths 8.829, 8.829, 8.829 Å; angles 120.00, 90.00, 60.00 degrees
Fractional coordinates of all 24 atoms:
1 Zr 0.689 0.250 0.561
2 Zr 0.500 0.500 0.000
3 Zr 0.689 0.622 0.561
4 Zr 0.311 0.750 0.439
5 Zr 0.061 0.250 0.189
6 Zr 0.939 0.750 0.439
7 Zr 0.061 0.250 0.561
8 Zr 0.939 0.750 0.811
9 Zr 0.311 0.378 0.439
10 Zr 0.939 0.122 0.811
11 Zr 0.311 0.750 0.811
12 Zr 0.000 0.500 0.000
13 Zr 0.500 0.000 0.500
14 Zr 0.689 0.250 0.189
15 Zr 0.500 0.000 0.000
16 Zr 0.061 0.878 0.189
17 Rh 0.721 0.943 0.221
18 Rh 0.336 0.943 0.221
19 Rh 0.664 0.057 0.779
20 Rh 0.721 0.557 0.221
21 Rh 0.721 0.557 0.836
22 Rh 0.279 0.443 0.779
23 Rh 0.279 0.057 0.779
24 Rh 0.279 0.443 0.164